# Er10Mn13C18 | the Alexandria database | GGA-PBEsol | optimized geometry
# **Energy relative to the elements**: -0.3892 eV per atom
# **Fermi-level density of states**: 0.368 states/eV per atom
# **Electronic total energy**: -8.92 eV per atom
data_Er10Mn13C18
_space_group_name_H-M_alt 'I -4 3 m'
_space_group_IT_number 217
_space_group_name_Hall 'I -4 2 3'
_cell_length_a 9.888
_cell_length_b 9.888
_cell_length_c 9.888
_cell_angle_alpha 90.00
_cell_angle_beta 90.00
_cell_angle_gamma 90.00
loop_
_atom_site_label
_atom_site_type_symbol
_atom_site_fract_x
_atom_site_fract_y
_atom_site_fract_z
_atom_site_occupancy
Er1 Er 0.000 0.250 0.500 1
Er2 Er 0.205 0.205 0.205 1
Mn1 Mn 0.000 0.000 0.000 1
Mn2 Mn 0.077 0.077 0.744 1
C1 C 0.000 0.000 0.430 1
C2 C 0.037 0.259 0.741 1